Record 1
The following is a DFT calculation (PBE) of an optimized crystal structure of NdPaV4. Values from VASP.

Computed properties:
- calculated formation energy (eV/atom) = 0.2682
- E_tot (Ry/atom) = -0.6018
- space-group type = No. 216

```
&SYSTEM
  ibrav = 0, nat = 6, ntyp = 3
/
ATOMIC_SPECIES
Nd 144.24 Nd.upf
Pa 231.04 Pa.upf
V 50.94 V.upf
ATOMIC_POSITIONS crystal
Nd 0.000 0.000 0.000
Pa 0.750 0.750 0.750
V 0.377 0.377 0.377
V 0.377 0.377 0.868
V 0.377 0.868 0.377
V 0.868 0.377 0.377
CELL_PARAMETERS angstrom
0.000 3.789 3.789
3.789 0.000 3.789
3.789 3.789 0.000
```



Record 2
The following is a DFT calculation (PBE) of an optimized crystal structure of NdPa2Zn6. Values from VASP.

Computed properties:
- calculated formation energy (eV/atom) = -0.1580
- E_tot (Ry/atom) = -0.2681
- space-group type = No. 191

```
&SYSTEM
  ibrav = 0, nat = 9, ntyp = 3
/
ATOMIC_SPECIES
Nd 144.24 Nd.upf
Pa 231.04 Pa.upf
Zn 65.41 Zn.upf
ATOMIC_POSITIONS crystal
Nd 0.000 0.000 0.000
Pa 0.333 0.667 0.000
Pa 0.667 0.333 0.000
Zn 0.000 0.337 0.500
Zn 0.000 0.663 0.500
Zn 0.337 0.000 0.500
Zn 0.337 0.337 0.500
Zn 0.663 0.000 0.500
Zn 0.663 0.663 0.500
CELL_PARAMETERS angstrom
8.012 0.000 0.000
-4.006 6.939 0.000
0.000 0.000 3.213
```



Record 3
The following is a DFT calculation (PBE) of an optimized crystal structure of NdPaZn. Values from VASP.

Computed properties:
- calculated formation energy (eV/atom) = 0.2631
- excess energy over the best structure of this formula in the dataset (kJ/mol of formula units) = 52
- E_tot (Ry/atom) = -0.3613
- space-group type = No. 156

```
&SYSTEM
  ibrav = 0, nat = 3, ntyp = 3
/
ATOMIC_SPECIES
Nd 144.24 Nd.upf
Pa 231.04 Pa.upf
Zn 65.41 Zn.upf
ATOMIC_POSITIONS crystal
Nd 0.000 0.000 0.000
Pa 0.333 0.667 0.572
Zn 0.667 0.333 0.264
CELL_PARAMETERS angstrom
5.174 0.000 0.000
-2.587 4.480 0.000
0.000 0.000 3.178
```



Record 4
The following is a DFT calculation (PBE) of an optimized crystal structure of Nd2PaZn. Values from VASP.

Computed properties:
- calculated formation energy (eV/atom) = 0.0050
- excess energy over the best structure of this formula in the dataset (kJ/mol of formula units) = 0
- E_tot (Ry/atom) = -0.3727
- space-group type = No. 123

```
&SYSTEM
  ibrav = 0, nat = 4, ntyp = 3
/
ATOMIC_SPECIES
Nd 144.24 Nd.upf
Pa 231.04 Pa.upf
Zn 65.41 Zn.upf
ATOMIC_POSITIONS crystal
Nd 0.000 0.000 0.226
Nd 0.000 0.000 0.774
Pa 0.500 0.500 0.500
Zn 0.500 0.500 0.000
CELL_PARAMETERS angstrom
3.484 0.000 0.000
0.000 3.484 0.000
0.000 0.000 8.943
```



Record 5
The following is a DFT calculation (PBE) of an optimized crystal structure of Nd2PaZn. Values from VASP.

Computed properties:
- calculated formation energy (eV/atom) = 0.2907
- excess energy over the best structure of this formula in the dataset (kJ/mol of formula units) = 110
- E_tot (Ry/atom) = -0.3517
- space-group type = No. 166

```
&SYSTEM
  ibrav = 0, nat = 4, ntyp = 3
/
ATOMIC_SPECIES
Nd 144.24 Nd.upf
Pa 231.04 Pa.upf
Zn 65.41 Zn.upf
ATOMIC_POSITIONS crystal
Nd 0.095 0.095 0.095
Nd 0.905 0.905 0.905
Pa 0.000 0.000 0.000
Zn 0.500 0.500 0.500
CELL_PARAMETERS angstrom
1.660 0.958 11.560
-1.660 0.958 11.560
0.000 -1.916 11.560
```



Record 6
The following is a DFT calculation (PBE) of an optimized crystal structure of NdPaZn2. Values from VASP.

Computed properties:
- calculated formation energy (eV/atom) = -0.0530
- excess energy over the best structure of this formula in the dataset (kJ/mol of formula units) = 0
- E_tot (Ry/atom) = -0.3128
- space-group type = No. 123

```
&SYSTEM
  ibrav = 0, nat = 4, ntyp = 3
/
ATOMIC_SPECIES
Nd 144.24 Nd.upf
Pa 231.04 Pa.upf
Zn 65.41 Zn.upf
ATOMIC_POSITIONS crystal
Nd 0.000 0.000 0.000
Pa 0.000 0.000 0.500
Zn 0.500 0.500 0.258
Zn 0.500 0.500 0.742
CELL_PARAMETERS angstrom
3.501 0.000 0.000
0.000 3.501 0.000
0.000 0.000 7.569
```



Record 7
The following is a DFT calculation (PBE) of an optimized crystal structure of NdPaZn2. Values from VASP.

Computed properties:
- calculated formation energy (eV/atom) = 0.0834
- excess energy over the best structure of this formula in the dataset (kJ/mol of formula units) = 53
- E_tot (Ry/atom) = -0.3028
- space-group type = No. 166

```
&SYSTEM
  ibrav = 0, nat = 4, ntyp = 3
/
ATOMIC_SPECIES
Nd 144.24 Nd.upf
Pa 231.04 Pa.upf
Zn 65.41 Zn.upf
ATOMIC_POSITIONS crystal
Nd 0.000 0.000 0.000
Pa 0.500 0.500 0.500
Zn 0.248 0.248 0.248
Zn 0.752 0.752 0.752
CELL_PARAMETERS angstrom
1.663 0.960 9.881
-1.663 0.960 9.881
0.000 -1.921 9.881
```



Record 8
The following is a DFT calculation (PBE) of an optimized crystal structure of NdPa2Zn9. Values from VASP.

Computed properties:
- calculated formation energy (eV/atom) = -0.1685
- E_tot (Ry/atom) = -0.2281
- space-group type = No. 166

```
&SYSTEM
  ibrav = 0, nat = 12, ntyp = 3
/
ATOMIC_SPECIES
Nd 144.24 Nd.upf
Pa 231.04 Pa.upf
Zn 65.41 Zn.upf
ATOMIC_POSITIONS crystal
Nd 0.000 0.000 0.000
Pa 0.150 0.150 0.150
Pa 0.850 0.850 0.850
Zn 0.077 0.584 0.584
Zn 0.336 0.336 0.336
Zn 0.416 0.416 0.923
Zn 0.416 0.923 0.416
Zn 0.500 0.500 0.500
Zn 0.584 0.077 0.584
Zn 0.584 0.584 0.077
Zn 0.664 0.664 0.664
Zn 0.923 0.416 0.416
CELL_PARAMETERS angstrom
2.685 1.550 8.838
-2.685 1.550 8.838
0.000 -3.100 8.838
```